[1]
# Ce2BiPb, relaxed, DFT GGA-PBE
# final energy	-5.15	eV per atom
# size of the total moment	5.9	μB/cell
# E_form	-0.2873	eV/atom
data_Ce2BiPb
_chemical_formula_sum 'Ce4 Bi2 Pb2'
_cell_length_a 3.4720
_cell_length_b 6.1979
_cell_length_c 12.2630
_cell_angle_alpha 83.65
_cell_angle_beta 90.00
_cell_angle_gamma 90.00
_symmetry_space_group_name_H-M 'P 1'
_symmetry_Int_Tables_number 1
loop_
_symmetry_equiv_pos_as_xyz
'x,y,z'
loop_
_atom_site_label
_atom_site_type_symbol
_atom_site_fract_x
_atom_site_fract_y
_atom_site_fract_z
_atom_site_occupancy
Ce1 Ce 0.7500 0.2180 0.1345 1
Ce2 Ce 0.2500 0.7820 0.8655 1
Ce3 Ce 0.7500 0.6718 0.3680 1
Ce4 Ce 0.2500 0.3282 0.6320 1
Bi1 Bi 0.7500 0.2818 0.8678 1
Bi2 Bi 0.2500 0.7182 0.1322 1
Pb1 Pb 0.7500 0.1677 0.4112 1
Pb2 Pb 0.2500 0.8323 0.5888 1

=====

[2]
# Ba2Tl3SbPd4, relaxed, DFT GGA-PBE
# final energy	-4.09	eV per atom
# ΔE_f (raw)	-0.502	eV per atom
# size of the total moment	0.0	μB/cell
data_Ba2Tl3SbPd4
_chemical_formula_sum 'Ba2 Tl3 Sb1 Pd4'
_cell_length_a 4.9616
_cell_length_b 4.9616
_cell_length_c 10.6530
_cell_angle_alpha 90.00
_cell_angle_beta 90.00
_cell_angle_gamma 90.00
_symmetry_space_group_name_H-M 'P 1'
_symmetry_Int_Tables_number 1
loop_
_symmetry_equiv_pos_as_xyz
'x,y,z'
loop_
_atom_site_label
_atom_site_type_symbol
_atom_site_fract_x
_atom_site_fract_y
_atom_site_fract_z
_atom_site_occupancy
Ba1 Ba 0.5000 0.0000 0.2416 1
Ba2 Ba 0.0000 0.5000 0.7584 1
Tl1 Tl 0.0000 0.0000 0.5000 1
Tl2 Tl 0.5000 0.0000 0.8783 1
Tl3 Tl 0.0000 0.5000 0.1217 1
Sb1 Sb 0.5000 0.5000 0.5000 1
Pd1 Pd 0.5000 0.5000 0.0000 1
Pd2 Pd 0.0000 0.0000 0.0000 1
Pd3 Pd 0.5000 0.0000 0.6180 1
Pd4 Pd 0.0000 0.5000 0.3820 1

=====

[3]
# Mn2CrCBr, relaxed, DFT GGA-PBE
# final energy	-5.76	eV per atom
# ΔE_f (raw)	2.016	eV per atom
# size of the total moment	3.5	μB/cell
data_Mn2CrCBr
_chemical_formula_sum 'Mn2 Cr1 C1 Br1'
_cell_length_a 4.7493
_cell_length_b 4.6043
_cell_length_c 4.7493
_cell_angle_alpha 90.00
_cell_angle_beta 90.00
_cell_angle_gamma 90.00
_symmetry_space_group_name_H-M 'P 1'
_symmetry_Int_Tables_number 1
loop_
_symmetry_equiv_pos_as_xyz
'x,y,z'
loop_
_atom_site_label
_atom_site_type_symbol
_atom_site_fract_x
_atom_site_fract_y
_atom_site_fract_z
_atom_site_occupancy
Cr1 Cr 0.0000 0.0000 0.0000 1
C1 C 0.5000 0.5000 0.5000 1
Mn1 Mn 0.0000 0.0000 0.5000 1
Mn2 Mn 0.5000 0.0000 0.0000 1
Br1 Br 0.0000 0.5000 0.0000 1

=====

[4]
# Zn2CoBr, relaxed, DFT GGA-PBE
# final energy	-2.66	eV per atom
# ΔE_f (raw)	0.175	eV per atom
# size of the total moment	0.1	μB/cell
data_Zn2CoBr
_chemical_formula_sum 'Zn2 Co1 Br1'
_cell_length_a 2.8996
_cell_length_b 2.8996
_cell_length_c 8.7863
_cell_angle_alpha 90.00
_cell_angle_beta 90.00
_cell_angle_gamma 90.00
_symmetry_space_group_name_H-M 'P 1'
_symmetry_Int_Tables_number 1
loop_
_symmetry_equiv_pos_as_xyz
'x,y,z'
loop_
_atom_site_label
_atom_site_type_symbol
_atom_site_fract_x
_atom_site_fract_y
_atom_site_fract_z
_atom_site_occupancy
Br1 Br 0.5000 0.5000 0.2500 1
Co1 Co 0.5000 0.5000 0.7500 1
Zn1 Zn 0.0000 0.0000 0.9085 1
Zn2 Zn 0.0000 0.0000 0.5915 1

=====

[5]
# K2Na8Tl, relaxed, DFT GGA-PBE
# final energy	-1.37	eV per atom
# size of the total moment	0.0	μB/cell
# E_form	-0.0006	eV/atom
data_K2Na8Tl
_chemical_formula_sum 'K2 Na8 Tl1'
_cell_length_a 5.8007
_cell_length_b 7.5215
_cell_length_c 10.6991
_cell_angle_alpha 97.76
_cell_angle_beta 105.73
_cell_angle_gamma 90.00
_symmetry_space_group_name_H-M 'P 1'
_symmetry_Int_Tables_number 1
loop_
_symmetry_equiv_pos_as_xyz
'x,y,z'
loop_
_atom_site_label
_atom_site_type_symbol
_atom_site_fract_x
_atom_site_fract_y
_atom_site_fract_z
_atom_site_occupancy
K1 K 0.7762 0.3240 0.5524 1
K2 K 0.2238 0.6760 0.4476 1
Na1 Na 0.4215 0.5802 0.8431 1
Na2 Na 0.6470 0.8950 0.2939 1
Na3 Na 0.8682 0.8366 0.7364 1
Na4 Na 0.9707 0.2516 0.9414 1
Na5 Na 0.1318 0.1634 0.2636 1
Na6 Na 0.3530 0.1050 0.7061 1
Na7 Na 0.5785 0.4198 0.1569 1
Na8 Na 0.0293 0.7484 0.0586 1
Tl1 Tl 0.5000 0.0000 0.0000 1

=====

[6]
# ZrIn3F7, relaxed, DFT GGA-PBE
# final energy	-5.33	eV per atom
# ΔE_f (raw)	-2.616	eV per atom
# size of the total moment	0.0	μB/cell
data_ZrIn3F7
_chemical_formula_sum 'Zr1 In3 F7'
_cell_length_a 6.3405
_cell_length_b 5.7953
_cell_length_c 6.8186
_cell_angle_alpha 109.77
_cell_angle_beta 105.71
_cell_angle_gamma 91.78
_symmetry_space_group_name_H-M 'P 1'
_symmetry_Int_Tables_number 1
loop_
_symmetry_equiv_pos_as_xyz
'x,y,z'
loop_
_atom_site_label
_atom_site_type_symbol
_atom_site_fract_x
_atom_site_fract_y
_atom_site_fract_z
_atom_site_occupancy
Zr1 Zr 0.9889 0.9893 0.0521 1
In1 In 0.7131 0.2561 0.5194 1
In2 In 0.4745 0.4789 0.9750 1
In3 In 0.2685 0.7255 0.5164 1
F1 F 0.9225 0.6909 0.7693 1
F2 F 0.6800 0.0818 0.9596 1
F3 F 0.8712 0.7814 0.2012 1
F4 F 0.1174 0.2032 0.9183 1
F5 F 0.5053 0.4868 0.3218 1
F6 F 0.2906 0.8899 0.1749 1
F7 F 0.0430 0.2910 0.3421 1